# LaSi3Rh5, optimized geometry, DFT GGA-PBE
data_LaSi3Rh5
_cell_length_a 3.964
_cell_length_b 12.365
_cell_length_c 12.254
_cell_angle_alpha 90.00
_cell_angle_beta 90.00
_cell_angle_gamma 90.00
_space_group_name_H-M_alt 'C m c m'
_space_group_IT_number 63
_space_group_name_Hall '-C 2c 2'
loop_
_atom_site_label
_atom_site_fract_x
_atom_site_fract_y
_atom_site_fract_z
La1 0.000 0.165 0.250
Si1 0.000 0.109 0.750
Si2 0.000 0.384 0.538
Rh1 0.000 0.000 0.000
Rh2 0.000 0.202 0.573
Rh3 0.000 0.449 0.144
# total magnetization: 0.0 μB/cell
# uncorrected formation energy: -0.834 eV per atom
# Fermi-level density of states: 23.6 states/eV per cell
# V: 600.6 Å³/cell
# total DFT energy (no corrections): -261.85 eV for the cell shown